No. 1
Entry from Alexandria via LeMat-Bulk: CuIr2Rh after structural relaxation (PBE). Values from VASP.

```
&SYSTEM
  ibrav = 0, nat = 4, ntyp = 3
/
ATOMIC_SPECIES
Cu 63.55 Cu.upf
Ir 192.22 Ir.upf
Rh 102.91 Rh.upf
ATOMIC_POSITIONS crystal
Cu 0.000 0.000 0.000
Ir 0.251 0.251 0.251
Ir 0.749 0.749 0.749
Rh 0.500 0.500 0.500
CELL_PARAMETERS angstrom
1.362 0.786 8.693
-1.362 0.786 8.693
0.000 -1.573 8.693
```

Calculated values
- Crystal system: trigonal

---

No. 2
Entry from Alexandria via LeMat-Bulk: Cu2IrRh after structural relaxation (PBE). Values from VASP.

```
&SYSTEM
  ibrav = 0, nat = 4, ntyp = 3
/
ATOMIC_SPECIES
Cu 63.55 Cu.upf
Ir 192.22 Ir.upf
Rh 102.91 Rh.upf
ATOMIC_POSITIONS crystal
Cu 0.250 0.250 0.250
Cu 0.750 0.750 0.750
Ir 0.000 0.000 0.000
Rh 0.500 0.500 0.500
CELL_PARAMETERS angstrom
0.000 2.983 2.983
2.983 0.000 2.983
2.983 2.983 0.000
```

Calculated values
- Crystal system: cubic

---

No. 3
Entry from Alexandria via LeMat-Bulk: CuIrRh2 after structural relaxation (PBE). Values from VASP.

```
&SYSTEM
  ibrav = 0, nat = 4, ntyp = 3
/
ATOMIC_SPECIES
Cu 63.55 Cu.upf
Ir 192.22 Ir.upf
Rh 102.91 Rh.upf
ATOMIC_POSITIONS crystal
Cu 0.000 0.000 0.000
Ir 0.500 0.500 0.246
Rh 0.000 0.000 0.501
Rh 0.500 0.500 0.757
CELL_PARAMETERS angstrom
1.351 -2.320 0.000
1.351 2.320 0.000
0.000 0.000 9.059
```

Calculated values
- Crystal system: orthorhombic

---

No. 4
Entry from Alexandria via LeMat-Bulk: Cu2IrRh after structural relaxation (PBE). Values from VASP.

```
&SYSTEM
  ibrav = 0, nat = 4, ntyp = 3
/
ATOMIC_SPECIES
Cu 63.55 Cu.upf
Ir 192.22 Ir.upf
Rh 102.91 Rh.upf
ATOMIC_POSITIONS crystal
Cu 0.000 0.000 0.000
Cu 0.766 0.266 0.500
Ir 0.254 0.754 0.500
Rh 0.509 0.509 0.000
CELL_PARAMETERS angstrom
-1.408 2.178 4.326
1.408 -2.178 4.326
1.408 2.178 -4.326
```

Calculated values
- Crystal system: orthorhombic

---

No. 5
Entry from Alexandria via LeMat-Bulk: CuIr2Rh after structural relaxation (PBE). Values from VASP.

```
&SYSTEM
  ibrav = 0, nat = 4, ntyp = 3
/
ATOMIC_SPECIES
Cu 63.55 Cu.upf
Ir 192.22 Ir.upf
Rh 102.91 Rh.upf
ATOMIC_POSITIONS crystal
Cu 0.000 0.000 0.000
Ir 0.000 0.500 0.500
Ir 0.500 0.000 0.500
Rh 0.500 0.500 0.000
CELL_PARAMETERS angstrom
2.667 -3.889 0.000
2.667 3.889 0.000
0.000 0.000 2.701
```

Calculated values
- Crystal system: orthorhombic

---

No. 6
Entry from Alexandria via LeMat-Bulk: CuIr2Rh after structural relaxation (PBE). Values from VASP.

```
&SYSTEM
  ibrav = 0, nat = 4, ntyp = 3
/
ATOMIC_SPECIES
Cu 63.55 Cu.upf
Ir 192.22 Ir.upf
Rh 102.91 Rh.upf
ATOMIC_POSITIONS crystal
Cu 0.000 0.000 0.000
Ir 0.000 0.500 0.500
Ir 0.500 0.000 0.500
Rh 0.500 0.500 0.000
CELL_PARAMETERS angstrom
3.802 0.000 0.000
0.000 3.802 0.000
0.000 0.000 3.873
```

Calculated values
- Crystal system: tetragonal

---

No. 7
Entry from Alexandria via LeMat-Bulk: Cu2Ir2Rh7 after structural relaxation (PBE). Values from VASP.

```
&SYSTEM
  ibrav = 0, nat = 11, ntyp = 3
/
ATOMIC_SPECIES
Cu 63.55 Cu.upf
Ir 192.22 Ir.upf
Rh 102.91 Rh.upf
ATOMIC_POSITIONS crystal
Cu 0.190 0.810 0.000
Cu 0.810 0.190 0.000
Ir 0.457 0.457 0.731
Ir 0.543 0.543 0.269
Rh 0.000 0.000 0.500
Rh 0.050 0.403 0.743
Rh 0.242 0.242 0.245
Rh 0.403 0.050 0.743
Rh 0.597 0.950 0.257
Rh 0.758 0.758 0.755
Rh 0.950 0.597 0.257
CELL_PARAMETERS angstrom
4.640 -3.942 0.000
4.640 3.942 0.000
-0.885 0.000 4.571
```

Calculated values
- Crystal system: monoclinic

---

No. 8
Entry from Alexandria via LeMat-Bulk: CuIrRh14 after structural relaxation (PBE). Values from VASP.

```
&SYSTEM
  ibrav = 0, nat = 16, ntyp = 3
/
ATOMIC_SPECIES
Cu 63.55 Cu.upf
Ir 192.22 Ir.upf
Rh 102.91 Rh.upf
ATOMIC_POSITIONS crystal
Cu 0.000 0.000 0.000
Ir 0.000 0.501 0.501
Rh 0.000 0.500 0.998
Rh 0.000 0.998 0.500
Rh 0.247 0.666 0.666
Rh 0.248 0.168 0.667
Rh 0.248 0.667 0.168
Rh 0.250 0.167 0.167
Rh 0.500 0.333 0.333
Rh 0.500 0.333 0.833
Rh 0.500 0.833 0.333
Rh 0.500 0.834 0.834
Rh 0.750 0.167 0.167
Rh 0.752 0.168 0.667
Rh 0.752 0.667 0.168
Rh 0.753 0.666 0.666
CELL_PARAMETERS angstrom
8.884 0.000 0.000
0.000 2.713 4.703
0.000 -2.713 4.703
```

Calculated values
- Crystal system: orthorhombic

---

No. 9
Entry from Alexandria via LeMat-Bulk: CuIrRh2 after structural relaxation (PBE). Values from VASP.

```
&SYSTEM
  ibrav = 0, nat = 4, ntyp = 3
/
ATOMIC_SPECIES
Cu 63.55 Cu.upf
Ir 192.22 Ir.upf
Rh 102.91 Rh.upf
ATOMIC_POSITIONS crystal
Cu 0.000 0.000 0.000
Ir 0.500 0.500 0.500
Rh 0.251 0.251 0.251
Rh 0.749 0.749 0.749
CELL_PARAMETERS angstrom
1.364 0.788 8.633
-1.364 0.788 8.633
0.000 -1.575 8.633
```

Calculated values
- Crystal system: trigonal

---

No. 10
Entry from Alexandria via LeMat-Bulk: Cu2IrRh after structural relaxation (PBE). Values from VASP.

```
&SYSTEM
  ibrav = 0, nat = 8, ntyp = 3
/
ATOMIC_SPECIES
Cu 63.55 Cu.upf
Ir 192.22 Ir.upf
Rh 102.91 Rh.upf
ATOMIC_POSITIONS crystal
Cu 0.122 0.125 0.497
Cu 0.375 0.878 0.003
Cu 0.628 0.625 0.503
Cu 0.875 0.372 0.997
Ir 0.000 0.000 0.000
Ir 0.750 0.250 0.500
Rh 0.250 0.750 0.500
Rh 0.500 0.500 0.000
CELL_PARAMETERS angstrom
-3.417 3.417 2.512
3.417 -3.417 2.512
3.417 3.417 -2.512
```

Calculated values
- Crystal system: tetragonal

---

No. 11
Entry from Alexandria via LeMat-Bulk: Cu2Ir2Rh7 after structural relaxation (PBE). Values from VASP.

```
&SYSTEM
  ibrav = 0, nat = 11, ntyp = 3
/
ATOMIC_SPECIES
Cu 63.55 Cu.upf
Ir 192.22 Ir.upf
Rh 102.91 Rh.upf
ATOMIC_POSITIONS crystal
Cu 0.141 0.859 0.000
Cu 0.859 0.141 0.000
Ir 0.292 0.292 0.493
Ir 0.708 0.708 0.507
Rh 0.000 0.000 0.500
Rh 0.065 0.578 0.307
Rh 0.368 0.368 0.069
Rh 0.422 0.935 0.693
Rh 0.578 0.065 0.307
Rh 0.632 0.632 0.931
Rh 0.935 0.422 0.693
CELL_PARAMETERS angstrom
4.363 -4.544 0.000
4.363 4.544 0.000
-2.644 0.000 4.183
```

Calculated values
- Crystal system: monoclinic

---

No. 12
Entry from Alexandria via LeMat-Bulk: Cu2IrRh after structural relaxation (PBE). Values from VASP.

```
&SYSTEM
  ibrav = 0, nat = 4, ntyp = 3
/
ATOMIC_SPECIES
Cu 63.55 Cu.upf
Ir 192.22 Ir.upf
Rh 102.91 Rh.upf
ATOMIC_POSITIONS crystal
Cu 0.000 0.500 0.000
Cu 0.500 0.000 0.000
Ir 0.000 0.000 0.500
Rh 0.500 0.500 0.500
CELL_PARAMETERS angstrom
4.277 0.000 0.000
0.000 4.277 0.000
0.000 0.000 2.905
```

Calculated values
- Crystal system: tetragonal

---

No. 13
Entry from Alexandria via LeMat-Bulk: CuIrRh after structural relaxation (PBE). Values from VASP.

```
&SYSTEM
  ibrav = 0, nat = 6, ntyp = 3
/
ATOMIC_SPECIES
Cu 63.55 Cu.upf
Ir 192.22 Ir.upf
Rh 102.91 Rh.upf
ATOMIC_POSITIONS crystal
Cu 0.333 0.667 0.000
Cu 0.667 0.333 0.500
Ir 0.000 0.000 0.166
Ir 0.000 0.000 0.666
Rh 0.333 0.667 0.335
Rh 0.667 0.333 0.835
CELL_PARAMETERS angstrom
2.709 0.000 0.000
-1.355 2.346 0.000
0.000 0.000 13.007
```

Calculated values
- Crystal system: hexagonal

---

No. 14
Entry from Alexandria via LeMat-Bulk: CuIrRh5 after structural relaxation (PBE). Values from VASP.

```
&SYSTEM
  ibrav = 0, nat = 14, ntyp = 3
/
ATOMIC_SPECIES
Cu 63.55 Cu.upf
Ir 192.22 Ir.upf
Rh 102.91 Rh.upf
ATOMIC_POSITIONS crystal
Cu 0.000 0.000 0.000
Cu 0.500 0.000 0.500
Ir 0.147 0.557 0.218
Ir 0.853 0.443 0.782
Rh 0.056 0.744 0.489
Rh 0.123 0.914 0.736
Rh 0.283 0.470 0.934
Rh 0.418 0.420 0.648
Rh 0.435 0.035 0.145
Rh 0.565 0.965 0.855
Rh 0.582 0.580 0.352
Rh 0.717 0.530 0.066
Rh 0.877 0.086 0.264
Rh 0.944 0.256 0.511
CELL_PARAMETERS angstrom
4.718 0.000 0.000
0.659 4.745 0.000
2.061 1.599 9.062
```

Calculated values
- Crystal system: triclinic

---

no.,energy relative to the elements (meV/atom)
1,72
2,221
3,214
4,155
5,139
6,168
7,354
8,32
9,40
10,649
11,295
12,219
13,60
14,189